Entry 1:
DFT (GGA-PBE) results for a relaxed structure of TiTl6Br12.

## Properties
E_form (uncorrected): -77.2 kJ per mole of atoms
density: 5003 kg/m3

abc: 12.7846 12.7846 15.7096
angles: 90.00 90.00 120.00
Closest atoms and distances in Å follow each position.
Space group R-3 (No. 148, hexagonal axes)
Inequivalent atoms, fractional coordinates:
Ti 0.0000 0.0000 0.0000 [3 per cell]  6 Br 2.53
Tl 0.0444 0.2887 0.5994 [18 per cell]  5 Br 3.12-3.30
Br 0.0332 0.2247 0.3978 [18 per cell]  4 Tl 3.12-3.26
Br 0.0865 0.9005 0.9063 [18 per cell]  1 Ti 2.53

Entry 2:
DFT (GGA-PBE) results for a relaxed structure of TiTl2Br6.

## Properties
E_form (uncorrected): -101.2 kJ per mole of atoms
density: 5041 kg/m3

abc: 7.4128 8.0516 12.6175
angles: 90.00 125.02 90.00
Closest atoms and distances in Å follow each position.
Space group P2_1/c (No. 14)
Inequivalent atoms, fractional coordinates:
Ti 0.0000 0.0000 0.0000 [2 per cell]  6 Br 2.53-2.54
Tl 0.2701 0.0839 0.7515 [4 per cell]  8 Br 3.32-3.59
Br 0.1647 0.0131 0.2393 [4 per cell]  1 Ti 2.53
Br 0.2157 0.7359 0.0370 [4 per cell]  1 Ti 2.54
Br 0.3173 0.1745 0.0370 [4 per cell]  1 Ti 2.54

Entry 3:
DFT (GGA-PBE) results for a relaxed structure of TiTl2Br.

## Properties
E_form (uncorrected): 11.9 kJ per mole of atoms
density: 6817 kg/m3
energy relative to the lowest polymorph listed for this composition: 0.000 eV per formula unit

abc: 10.1935 10.1935 5.0315
angles: 90.00 90.00 90.00
Closest atoms and distances in Å follow each position.
Space group I-42d (No. 122)
Inequivalent atoms, fractional coordinates:
Ti 0.0000 0.0000 0.0000 [4 per cell]  2 Br 2.52
Tl 0.1297 0.2500 0.1250 [8 per cell]  2 Ti 2.94
Br 0.0000 0.0000 0.5000 [4 per cell]  2 Ti 2.52

Entry 4:
DFT (GGA-PBE) results for a relaxed structure of TiTlBr4.

## Properties
E_form (uncorrected): -102.7 kJ per mole of atoms
density: 3979 kg/m3
energy relative to the lowest polymorph listed for this composition: 0.000 eV per formula unit

abc: 10.1565 14.9241 6.6246
angles: 90.00 108.08 90.00
Closest atoms and distances in Å follow each position.
Space group C2/c (No. 15)
Inequivalent atoms, fractional coordinates:
Ti 0.0000 0.0587 0.2500 [4 per cell]  6 Br 2.55-2.65
Tl 0.0000 0.2679 0.7500 [4 per cell]  6 Br 3.20-3.54
Br 0.1514 0.0653 0.6557 [8 per cell]  2 Ti 2.60-2.65
Br 0.1652 0.1782 0.1956 [8 per cell]  1 Ti 2.55

Entry 5:
DFT (GGA-PBE) results for a relaxed structure of TiTlBr3.

## Properties
E_form (uncorrected): -92.1 kJ per mole of atoms
density: 5967 kg/m3
energy relative to the lowest polymorph listed for this composition: 0.000 eV per formula unit

abc: 9.1807 3.6202 16.4758
angles: 90.00 90.00 90.00
Closest atoms and distances in Å follow each position.
Space group Pnma (No. 62)
Inequivalent atoms, fractional coordinates:
Ti 0.1113 0.2500 0.0403 [4 per cell]  6 Br 2.58-2.80
Tl 0.0412 0.7500 0.3293 [4 per cell]  7 Br 3.27-3.65, 2 Tl 3.62
Br 0.0534 0.2500 0.8872 [4 per cell]  3 Ti 2.58-2.64
Br 0.1843 0.2500 0.5045 [4 per cell]  2 Ti 2.67
Br 0.2475 0.2500 0.1922 [4 per cell]  1 Ti 2.80

Entry 6:
DFT (GGA-PBE) results for a relaxed structure of Ti3TlBr.

## Properties
E_form (uncorrected): 107.9 kJ per mole of atoms
density: 4822 kg/m3
energy relative to the lowest polymorph listed for this composition: 3.418 eV per formula unit

abc: 5.2818 5.2818 5.2818
angles: 90.00 90.00 90.00
Closest atoms and distances in Å follow each position.
Space group Pm-3m (No. 221)
Inequivalent atoms, fractional coordinates:
Ti 0.0000 0.0000 0.5000 [3 per cell]  2 Tl 2.64
Tl 0.0000 0.0000 0.0000 [1 per cell]  6 Ti 2.64
Br 0.5000 0.5000 0.5000 [1 per cell]  12 Ti 3.73

Entry 7:
DFT (GGA-PBE) results for a relaxed structure of TiTl2Br.

## Properties
E_form (uncorrected): 40.2 kJ per mole of atoms
density: 7802 kg/m3
energy relative to the lowest polymorph listed for this composition: 1.174 eV per formula unit

abc: 7.7012 7.7012 7.7012
angles: 90.00 90.00 90.00
Closest atoms and distances in Å follow each position.
Space group Fm-3m (No. 225)
Inequivalent atoms, fractional coordinates:
Ti 0.0000 0.0000 0.0000 [4 per cell]  8 Tl 3.33
Tl 0.2500 0.2500 0.2500 [8 per cell]  4 Ti 3.33, 4 Br 3.33
Br 0.0000 0.0000 0.5000 [4 per cell]  8 Tl 3.33

Entry 8:
DFT (GGA-PBE) results for a relaxed structure of TiTlBr3.

## Properties
E_form (uncorrected): -84.1 kJ per mole of atoms
density: 5419 kg/m3
energy relative to the lowest polymorph listed for this composition: 0.414 eV per formula unit

abc: 5.3222 5.3222 5.3222
angles: 90.00 90.00 90.00
Closest atoms and distances in Å follow each position.
Space group Pm-3m (No. 221)
Inequivalent atoms, fractional coordinates:
Ti 0.0000 0.0000 0.0000 [1 per cell]  6 Br 2.66
Tl 0.5000 0.5000 0.5000 [1 per cell]  12 Br 3.76
Br 0.0000 0.0000 0.5000 [3 per cell]  2 Ti 2.66

Entry 9:
DFT (GGA-PBE) results for a relaxed structure of TiTlBr3.

## Properties
E_form (uncorrected): -91.9 kJ per mole of atoms
density: 5163 kg/m3
energy relative to the lowest polymorph listed for this composition: 0.010 eV per formula unit

abc: 17.0639 4.0491 9.2738
angles: 90.00 98.99 90.00
Closest atoms and distances in Å follow each position.
Space group C2/m (No. 12)
Inequivalent atoms, fractional coordinates:
Ti 0.2067 0.0000 0.3599 [4 per cell]  6 Br 2.62-2.73
Tl 0.0993 0.5000 0.9096 [4 per cell]  7 Br 3.30-3.50
Br 0.0680 0.0000 0.1759 [4 per cell]  1 Ti 2.69
Br 0.1472 0.5000 0.5019 [4 per cell]  3 Ti 2.62-2.70
Br 0.2489 0.0000 0.8078 [4 per cell]  2 Ti 2.73

Entry 10:
DFT (GGA-PBE) results for a relaxed structure of TmTiBr2.

## Properties
E_form (uncorrected): -52.1 kJ per mole of atoms
density: 6415 kg/m3

abc: 3.4566 3.4566 28.2657
angles: 90.00 90.00 120.00
Closest atoms and distances in Å follow each position.
Space group R-3m (No. 166, hexagonal axes)
Inequivalent atoms, fractional coordinates:
Tm 0.0000 0.0000 0.0000 [3 per cell]  2 Br 2.94
Ti 0.0000 0.0000 0.5000 [3 per cell]  6 Br 2.67
Br 0.0000 0.0000 0.1039 [6 per cell]  3 Ti 2.67, 1 Tm 2.94

Entry 11:
DFT (GGA-PBE) results for a relaxed structure of Tm2TiBr.

## Properties
E_form (uncorrected): 1.7 kJ per mole of atoms
density: 7519 kg/m3

abc: 3.3420 3.3420 31.8939
angles: 90.00 90.00 120.00
Closest atoms and distances in Å follow each position.
Space group R-3m (No. 166, hexagonal axes)
Inequivalent atoms, fractional coordinates:
Tm 0.0000 0.0000 0.0919 [6 per cell]  1 Ti 2.93, 3 Br 3.07
Ti 0.0000 0.0000 0.0000 [3 per cell]  2 Tm 2.93
Br 0.0000 0.0000 0.5000 [3 per cell]  6 Tm 3.07, 6 Br 3.34

Entry 12:
DFT (GGA-PBE) results for a relaxed structure of Ti4V2Br.

## Properties
E_form (uncorrected): 77.3 kJ per mole of atoms
density: 4589 kg/m3

abc: 4.6290 4.6290 12.6059
angles: 90.00 90.00 90.00
Closest atoms and distances in Å follow each position.
Space group I4/mmm (No. 139)
Inequivalent atoms, fractional coordinates:
Ti 0.0000 0.0000 0.2007 [4 per cell]  1 V 2.32, 1 Br 2.53
Ti 0.0000 0.5000 0.0000 [4 per cell]  2 Br 2.31
V 0.0000 0.0000 0.3845 [4 per cell]  1 Ti 2.32
Br 0.0000 0.0000 0.0000 [2 per cell]  6 Ti 2.31-2.53

Entry 13:
DFT (GGA-PBE) results for a relaxed structure of TiV2Br.

## Properties
E_form (uncorrected): 68.1 kJ per mole of atoms
density: 6240 kg/m3
energy relative to the lowest polymorph listed for this composition: 0.567 eV per formula unit

abc: 6.2527 6.2527 6.2527
angles: 90.00 90.00 90.00
Closest atoms and distances in Å follow each position.
Space group Fm-3m (No. 225)
Inequivalent atoms, fractional coordinates:
Ti 0.0000 0.0000 0.0000 [4 per cell]  8 V 2.71
V 0.2500 0.2500 0.2500 [8 per cell]  4 Br 2.71, 4 Ti 2.71
Br 0.0000 0.0000 0.5000 [4 per cell]  8 V 2.71

Entry 14:
DFT (GGA-PBE) results for a relaxed structure of TiV2Br.

## Properties
E_form (uncorrected): 54.5 kJ per mole of atoms
density: 5917 kg/m3
energy relative to the lowest polymorph listed for this composition: 0.000 eV per formula unit

abc: 3.7010 3.7010 18.8199
angles: 90.00 90.00 90.00
Closest atoms and distances in Å follow each position.
Space group I-42d (No. 122)
Inequivalent atoms, fractional coordinates:
Ti 0.0000 0.0000 0.0000 [4 per cell]  4 Br 2.62, 4 V 2.70
V 0.2440 0.2500 0.6250 [8 per cell]  4 V 2.59-2.65, 2 Br 2.68, 2 Ti 2.70
Br 0.0000 0.0000 0.5000 [4 per cell]  4 Ti 2.62, 4 V 2.68

Entry 15:
DFT (GGA-PBE) results for a relaxed structure of TiVBr6.

## Properties
E_form (uncorrected): -93.8 kJ per mole of atoms
density: 3878 kg/m3

abc: 6.2853 13.2499 6.2847
angles: 90.00 108.87 90.00
Closest atoms and distances in Å follow each position.
Space group C2/m (No. 12)
Inequivalent atoms, fractional coordinates:
Ti 0.0000 0.0000 0.0000 [2 per cell]  6 Br 2.52-2.57
V 0.0000 0.5000 0.5000 [2 per cell]  6 Br 2.58-2.60
Br 0.2463 0.0000 0.7543 [4 per cell]  1 Ti 2.52, 1 V 2.60
Br 0.2488 0.1371 0.2492 [8 per cell]  1 Ti 2.57, 1 V 2.58

Entry 16:
DFT (GGA-PBE) results for a relaxed structure of Ti3VBr.

## Properties
E_form (uncorrected): 66.2 kJ per mole of atoms
density: 4577 kg/m3
energy relative to the lowest polymorph listed for this composition: 0.000 eV per formula unit

abc: 4.6350 4.6350 4.6350
angles: 90.00 90.00 90.00
Closest atoms and distances in Å follow each position.
Space group Pm-3m (No. 221)
Inequivalent atoms, fractional coordinates:
Ti 0.0000 0.0000 0.5000 [3 per cell]  2 Br 2.32
V 0.5000 0.5000 0.5000 [1 per cell]  12 Ti 3.28
Br 0.0000 0.0000 0.0000 [1 per cell]  6 Ti 2.32

Entry 17:
DFT (GGA-PBE) results for a relaxed structure of TiVBr2.

## Properties
E_form (uncorrected): -6.2 kJ per mole of atoms
density: 5029 kg/m3
energy relative to the lowest polymorph listed for this composition: 0.000 eV per formula unit

abc: 3.3504 3.3504 26.3536
angles: 90.00 90.00 120.00
Closest atoms and distances in Å follow each position.
Space group R-3m (No. 166, hexagonal axes)
Inequivalent atoms, fractional coordinates:
Ti 0.0000 0.0000 0.0000 [3 per cell]  6 Br 2.63
V 0.0000 0.0000 0.5000 [3 per cell]  2 Br 2.61
Br 0.0000 0.0000 0.4011 [6 per cell]  1 V 2.61, 3 Ti 2.63

Entry 18:
DFT (GGA-PBE) results for a relaxed structure of Ti2VBr2.

## Properties
E_form (uncorrected): 37.5 kJ per mole of atoms
density: 5115 kg/m3
energy relative to the lowest polymorph listed for this composition: 0.512 eV per formula unit

abc: 5.0586 5.0586 7.7762
angles: 90.00 90.00 90.00
Closest atoms and distances in Å follow each position.
Space group I4/mmm (No. 139)
Inequivalent atoms, fractional coordinates:
Ti 0.0000 0.5000 0.2500 [4 per cell]  4 Br 2.58
V 0.0000 0.0000 0.0000 [2 per cell]  2 Br 2.46
Br 0.0000 0.0000 0.3166 [4 per cell]  1 V 2.46, 4 Ti 2.58

Entry 19:
DFT (GGA-PBE) results for a relaxed structure of TiVBr2.

## Properties
E_form (uncorrected): 23.2 kJ per mole of atoms
density: 4154 kg/m3
energy relative to the lowest polymorph listed for this composition: 1.223 eV per formula unit

abc: 5.9031 5.9031 11.8677
angles: 90.00 90.00 90.00
Closest atoms and distances in Å follow each position.
Space group I-42d (No. 122)
Inequivalent atoms, fractional coordinates:
Ti 0.0000 0.0000 0.0000 [4 per cell]  4 Br 2.57
V 0.0000 0.0000 0.5000 [4 per cell]  4 Br 2.55
Br 0.2479 0.2500 0.6250 [8 per cell]  2 V 2.55, 2 Ti 2.57

Entry 20:
DFT (GGA-PBE) results for a relaxed structure of Ti2VBr2.

## Properties
E_form (uncorrected): 27.6 kJ per mole of atoms
density: 6076 kg/m3
energy relative to the lowest polymorph listed for this composition: 0.000 eV per formula unit

abc: 7.0245 7.0245 3.3951
angles: 90.00 90.00 90.00
Closest atoms and distances in Å follow each position.
Space group P4/mbm (No. 127)
Inequivalent atoms, fractional coordinates:
Ti 0.1580 0.3420 0.0000 [4 per cell]  6 Br 2.54-2.76
V 0.0000 0.0000 0.5000 [2 per cell]  4 Br 2.67
Br 0.1520 0.6520 0.5000 [4 per cell]  6 Ti 2.54-2.76, 2 V 2.67

Entry 21:
DFT (GGA-PBE) results for a relaxed structure of TiVBr2.

## Properties
E_form (uncorrected): 17.2 kJ per mole of atoms
density: 6026 kg/m3
energy relative to the lowest polymorph listed for this composition: 0.972 eV per formula unit

abc: 6.5815 6.5815 6.5815
angles: 90.00 90.00 90.00
Closest atoms and distances in Å follow each position.
Space group Fm-3m (No. 225)
Inequivalent atoms, fractional coordinates:
Ti 0.0000 0.0000 0.0000 [4 per cell]  8 Br 2.85
V 0.0000 0.0000 0.5000 [4 per cell]  8 Br 2.85
Br 0.2500 0.2500 0.2500 [8 per cell]  4 V 2.85, 4 Ti 2.85

Entry 22:
DFT (GGA-PBE) results for a relaxed structure of TiVBr.

## Properties
E_form (uncorrected): 10.7 kJ per mole of atoms
density: 5588 kg/m3

abc: 3.1443 5.5326 6.6225
angles: 67.60 89.89 85.93
Closest atoms and distances in Å follow each position.
Space group P-1 (No. 2)
Inequivalent atoms, fractional coordinates:
Ti 0.2032 0.2927 0.4490 [2 per cell]  3 V 2.60-2.90, 2 Br 2.68-2.75, 1 Ti 2.85
V 0.2736 0.8497 0.2093 [2 per cell]  3 Br 2.48-2.50, 2 Ti 2.60-2.63
Br 0.2660 0.7773 0.8583 [2 per cell]  3 V 2.48-2.50, 2 Ti 2.68-2.75

Entry 23:
DFT (GGA-PBE) results for a relaxed structure of Ti3VBr.

## Properties
E_form (uncorrected): 75.1 kJ per mole of atoms
density: 4430 kg/m3
energy relative to the lowest polymorph listed for this composition: 0.459 eV per formula unit

abc: 4.6856 4.6856 4.6856
angles: 90.00 90.00 90.00
Closest atoms and distances in Å follow each position.
Space group Pm-3m (No. 221)
Inequivalent atoms, fractional coordinates:
Ti 0.0000 0.0000 0.5000 [3 per cell]  2 V 2.34
V 0.0000 0.0000 0.0000 [1 per cell]  6 Ti 2.34
Br 0.5000 0.5000 0.5000 [1 per cell]  12 Ti 3.31

Entry 24:
DFT (GGA-PBE) results for a relaxed structure of TiV2Br6.

## Properties
E_form (uncorrected): -74.6 kJ per mole of atoms
density: 4540 kg/m3

abc: 13.7389 11.4847 6.6571
angles: 90.00 118.81 90.00
Closest atoms and distances in Å follow each position.
Space group C2/c (No. 15)
Inequivalent atoms, fractional coordinates:
Ti 0.0000 0.0823 0.2500 [4 per cell]  6 Br 2.66-2.71, 2 V 2.96
V 0.2460 0.0821 0.5021 [8 per cell]  6 Br 2.54-2.75
Br 0.1220 0.0923 0.0331 [8 per cell]  2 Ti 2.69-2.71, 2 V 2.70-2.75
Br 0.1265 0.2489 0.5340 [8 per cell]  2 V 2.60-2.70, 1 Ti 2.66
Br 0.1384 0.4288 0.0639 [8 per cell]  2 V 2.54-2.55